Record 1
{
  "formula": "Zn2FeCoH",
  "functional": "PBE-GGA",
  "state": "optimized geometry",
  "total_energy_ev_per_cell": -20.6,
  "e_above_lowest_polymorph_ev_per_atom": 0.000,
  "cell": [[-2.931, 0.507, -2.706], [2.227, -1.886, -2.766], [-1.306, -2.838, 0.883]],
  "species": ["Fe", "Zn", "Zn", "Co", "H"],
  "fractional_positions": [[0.500, 0.500, 0.500], [0.000, 0.500, 0.000], [0.500, 0.000, 0.000], [0.000, 0.000, 0.500], [0.000, 0.000, 0.000]]
}

Record 2
{
  "formula": "ZrFeCo2H",
  "functional": "PBE-GGA",
  "state": "optimized geometry",
  "total_energy_ev_per_cell": -35.2,
  "cell": [[3.801, 0.000, 0.000], [0.000, 3.801, 0.000], [0.000, 0.000, 3.768]],
  "species": ["Fe", "Co", "H", "Zr", "Co"],
  "fractional_positions": [[0.000, 0.000, 0.500], [0.500, 0.000, 0.000], [0.000, 0.000, 0.000], [0.500, 0.500, 0.500], [0.000, 0.500, 0.000]]
}

Record 3
{
  "formula": "ZrFe2CoH",
  "functional": "PBE-GGA",
  "state": "optimized geometry",
  "total_energy_ev_per_cell": -36.3,
  "cell": [[3.773, 0.000, 0.000], [0.000, 3.773, 0.000], [0.000, 0.000, 3.890]],
  "species": ["H", "Fe", "Fe", "Zr", "Co"],
  "fractional_positions": [[0.000, 0.000, 0.000], [0.500, 0.000, 0.000], [0.000, 0.500, 0.000], [0.500, 0.500, 0.500], [0.000, 0.000, 0.500]]
}

Record 4
{
  "formula": "HfFe4Co",
  "functional": "PBE-GGA",
  "state": "optimized geometry",
  "total_energy_ev_per_cell": -51.6,
  "formation_enthalpy_0k_kcal_per_mol_atoms": -2.68,
  "cell": [[-1.141, -3.132, 3.458], [2.520, -4.059, 0.491], [2.913, -0.576, 3.775]],
  "species": ["Fe", "Fe", "Hf", "Co", "Fe", "Fe"],
  "fractional_positions": [[0.124, 0.625, 0.625], [0.625, 0.124, 0.625], [0.250, 0.250, 0.250], [0.000, 0.000, 0.000], [0.625, 0.625, 0.625], [0.625, 0.625, 0.124]]
}

Record 5
{
  "formula": "HfFe2Co2",
  "functional": "PBE-GGA",
  "state": "optimized geometry",
  "total_energy_ev_per_cell": -82.1,
  "formation_enthalpy_0k_kcal_per_mol_atoms": 0.22,
  "e_above_lowest_polymorph_ev_per_atom": 0.045,
  "cell": [[6.923, 0.000, 0.000], [0.000, 6.923, 0.000], [0.000, 0.000, 2.736]],
  "species": ["Fe", "Hf", "Co", "Co", "Fe", "Co", "Co", "Fe", "Hf", "Fe"],
  "fractional_positions": [[0.644, 0.144, 0.000], [0.000, 0.000, 0.000], [0.350, 0.150, 0.500], [0.150, 0.650, 0.500], [0.856, 0.644, 0.000], [0.850, 0.350, 0.500], [0.650, 0.850, 0.500], [0.356, 0.856, 0.000], [0.500, 0.500, 0.000], [0.144, 0.356, 0.000]]
}

Record 6
{
  "formula": "HfFe2Co2",
  "functional": "PBE-GGA",
  "state": "optimized geometry",
  "total_energy_ev_per_cell": -82.5,
  "formation_enthalpy_0k_kcal_per_mol_atoms": -0.81,
  "e_above_lowest_polymorph_ev_per_atom": 0.000,
  "cell": [[3.735, 0.000, 0.000], [0.000, 3.735, 0.000], [-1.867, -1.867, 9.897]],
  "species": ["Fe", "Fe", "Co", "Hf", "Hf", "Fe", "Co", "Co", "Co", "Fe"],
  "fractional_positions": [[0.250, 0.750, 0.500], [0.931, 0.931, 0.862], [0.500, 0.000, 0.000], [0.622, 0.622, 0.244], [0.378, 0.378, 0.756], [0.750, 0.250, 0.500], [0.819, 0.819, 0.639], [0.000, 0.500, 0.000], [0.181, 0.181, 0.361], [0.069, 0.069, 0.138]]
}

Record 7
{
  "formula": "Hf2FeCo",
  "functional": "PBE-GGA",
  "state": "optimized geometry",
  "total_energy_ev_per_cell": -36.9,
  "formation_enthalpy_0k_kcal_per_mol_atoms": -8.41,
  "e_above_lowest_polymorph_ev_per_atom": 0.000,
  "cell": [[-2.055, -0.453, 2.347], [-2.171, -0.942, -2.082], [1.986, -5.904, 0.599]],
  "species": ["Hf", "Co", "Hf", "Fe"],
  "fractional_positions": [[0.000, 0.000, 0.252], [0.500, 0.500, 0.000], [0.000, 0.000, 0.748], [0.500, 0.500, 0.500]]
}

Record 8
{
  "formula": "Hf2Fe2Co15",
  "functional": "PBE-GGA",
  "state": "optimized geometry",
  "total_energy_ev_per_cell": -145.5,
  "formation_enthalpy_0k_kcal_per_mol_atoms": -2.57,
  "cell": [[6.120, -0.012, 0.787], [0.691, 6.081, 0.787], [-0.013, -0.012, 6.171]],
  "species": ["Hf", "Co", "Co", "Hf", "Co", "Co", "Fe", "Co", "Co", "Co", "Co", "Co", "Fe", "Co", "Co", "Co", "Co", "Co", "Co"],
  "fractional_positions": [[0.345, 0.345, 0.345], [0.845, 0.353, 0.353], [0.705, 0.000, 0.295], [0.655, 0.655, 0.655], [0.705, 0.295, 0.000], [0.647, 0.155, 0.647], [0.900, 0.900, 0.900], [0.000, 0.705, 0.295], [0.295, 0.705, 0.000], [0.000, 0.295, 0.705], [0.295, 0.000, 0.705], [0.000, 0.000, 0.500], [0.100, 0.100, 0.100], [0.155, 0.647, 0.647], [0.500, 0.000, 0.000], [0.353, 0.353, 0.845], [0.647, 0.647, 0.155], [0.353, 0.845, 0.353], [0.000, 0.500, 0.000]]
}

Record 9
{
  "formula": "Hf3FeCo8",
  "functional": "PBE-GGA",
  "state": "optimized geometry",
  "total_energy_ev_per_cell": -98.6,
  "formation_enthalpy_0k_kcal_per_mol_atoms": -6.53,
  "cell": [[4.612, 0.000, 1.368], [2.103, 4.105, 1.368], [0.037, 0.022, 8.335]],
  "species": ["Co", "Co", "Co", "Hf", "Hf", "Hf", "Co", "Fe", "Co", "Co", "Co", "Co"],
  "fractional_positions": [[0.812, 0.812, 0.565], [0.563, 0.062, 0.811], [0.062, 0.560, 0.316], [0.008, 0.008, 0.977], [0.623, 0.623, 0.130], [0.495, 0.495, 0.516], [0.062, 0.062, 0.316], [0.129, 0.129, 0.614], [0.560, 0.062, 0.316], [0.062, 0.563, 0.811], [0.563, 0.563, 0.811], [0.312, 0.312, 0.065]]
}

Record 10
{
  "formula": "Hf4Fe3Co",
  "functional": "PBE-GGA",
  "state": "optimized geometry",
  "total_energy_ev_per_cell": -75.0,
  "formation_enthalpy_0k_kcal_per_mol_atoms": -7.83,
  "cell": [[-3.095, -0.365, -0.353], [0.631, -1.268, -4.214], [0.695, -8.458, 2.650]],
  "species": ["Fe", "Fe", "Fe", "Hf", "Hf", "Co", "Hf", "Hf"],
  "fractional_positions": [[0.500, 0.000, 0.750], [0.500, 0.500, 0.500], [0.500, 0.000, 0.250], [0.000, 0.500, 0.748], [0.000, 0.500, 0.252], [0.500, 0.500, 0.000], [0.000, 0.000, 0.500], [0.000, 0.000, 0.000]]
}

Record 11
{
  "formula": "Hf3Fe2Co",
  "functional": "PBE-GGA",
  "state": "optimized geometry",
  "total_energy_ev_per_cell": -56.0,
  "formation_enthalpy_0k_kcal_per_mol_atoms": -8.01,
  "cell": [[3.150, 0.000, 0.000], [0.000, 3.150, 0.000], [0.000, 0.000, 9.379]],
  "species": ["Co", "Hf", "Fe", "Fe", "Hf", "Hf"],
  "fractional_positions": [[0.500, 0.500, 0.500], [0.000, 0.000, 0.668], [0.500, 0.500, 0.169], [0.500, 0.500, 0.831], [0.000, 0.000, 0.000], [0.000, 0.000, 0.332]]
}

Record 12
{
  "formula": "Hf6FeCo",
  "functional": "PBE-GGA",
  "state": "optimized geometry",
  "total_energy_ev_per_cell": -74.4,
  "formation_enthalpy_0k_kcal_per_mol_atoms": 2.47,
  "cell": [[6.157, 0.475, -1.127], [3.476, 5.114, -1.146], [2.004, 1.134, 4.812]],
  "species": ["Hf", "Fe", "Hf", "Hf", "Co", "Hf", "Hf", "Hf"],
  "fractional_positions": [[0.827, 0.676, 0.247], [0.000, 0.000, 0.000], [0.817, 0.959, 0.679], [0.465, 0.313, 0.179], [0.500, 0.500, 0.500], [0.535, 0.687, 0.821], [0.183, 0.041, 0.321], [0.173, 0.324, 0.753]]
}

Record 13
{
  "formula": "Hf4Fe2Co",
  "functional": "PBE-GGA",
  "state": "optimized geometry",
  "total_energy_ev_per_cell": -65.2,
  "formation_enthalpy_0k_kcal_per_mol_atoms": -4.41,
  "e_above_lowest_polymorph_ev_per_atom": 0.000,
  "cell": [[5.086, 0.004, -1.787], [-2.534, 4.398, -1.816], [0.002, -0.004, 5.391]],
  "species": ["Fe", "Hf", "Hf", "Fe", "Hf", "Hf", "Co"],
  "fractional_positions": [[0.500, 0.000, 0.500], [0.000, 0.500, 0.000], [0.500, 0.500, 0.500], [0.500, 0.500, 0.000], [0.500, 0.000, 0.000], [0.000, 0.000, 0.500], [0.000, 0.000, 0.000]]
}

Record 14
{
  "formula": "HfFe3Co",
  "functional": "PBE-GGA",
  "state": "optimized geometry",
  "total_energy_ev_per_cell": -39.2,
  "formation_enthalpy_0k_kcal_per_mol_atoms": 14.81,
  "e_above_lowest_polymorph_ev_per_atom": 0.000,
  "cell": [[4.277, 0.000, 0.000], [0.000, 4.277, 0.000], [0.000, 0.000, 4.277]],
  "species": ["Fe", "Co", "Hf", "Fe", "Fe"],
  "fractional_positions": [[0.500, 0.000, 0.000], [0.000, 0.000, 0.000], [0.500, 0.500, 0.500], [0.000, 0.000, 0.500], [0.000, 0.500, 0.000]]
}

Record 15
{
  "formula": "Hf2FeCo",
  "functional": "PBE-GGA",
  "state": "optimized geometry",
  "total_energy_ev_per_cell": -32.7,
  "formation_enthalpy_0k_kcal_per_mol_atoms": 16.25,
  "e_above_lowest_polymorph_ev_per_atom": 1.069,
  "cell": [[4.456, -1.416, -3.307], [-0.699, 4.623, 3.307], [-2.915, -0.389, 4.914]],
  "species": ["Co", "Hf", "Fe", "Hf"],
  "fractional_positions": [[0.000, 0.500, 0.500], [0.000, 0.259, 0.259], [0.000, 0.000, 0.000], [0.000, 0.741, 0.741]]
}

Record 16
{
  "formula": "HfFe3Co",
  "functional": "PBE-GGA",
  "state": "optimized geometry",
  "total_energy_ev_per_cell": -33.0,
  "formation_enthalpy_0k_kcal_per_mol_atoms": 43.56,
  "e_above_lowest_polymorph_ev_per_atom": 1.247,
  "cell": [[-0.552, -3.384, -2.893], [-1.969, -2.428, 3.217], [-3.993, 1.666, -1.186]],
  "species": ["Fe", "Hf", "Fe", "Co", "Fe"],
  "fractional_positions": [[0.500, 0.000, 0.000], [0.000, 0.000, 0.000], [0.000, 0.500, 0.000], [0.500, 0.500, 0.500], [0.000, 0.000, 0.500]]
}

Record 17
{
  "formula": "Hf7Fe2Co2",
  "functional": "PBE-GGA",
  "state": "optimized geometry",
  "total_energy_ev_per_cell": -99.8,
  "formation_enthalpy_0k_kcal_per_mol_atoms": 2.13,
  "cell": [[5.850, -0.002, -0.904], [0.004, 6.371, 0.001], [-1.267, -0.003, 5.783]],
  "species": ["Fe", "Hf", "Co", "Hf", "Fe", "Hf", "Co", "Hf", "Hf", "Hf", "Hf"],
  "fractional_positions": [[0.175, 0.500, 0.175], [0.500, 0.270, 0.000], [0.707, 0.000, 0.293], [0.500, 0.737, 0.500], [0.825, 0.500, 0.825], [0.000, 0.730, 0.500], [0.293, 0.000, 0.707], [0.000, 0.270, 0.500], [0.500, 0.730, 0.000], [0.500, 0.263, 0.500], [0.000, 0.000, 0.000]]
}

Record 18
{
  "formula": "Hf6FeCo5",
  "functional": "PBE-GGA",
  "state": "optimized geometry",
  "total_energy_ev_per_cell": -108.3,
  "formation_enthalpy_0k_kcal_per_mol_atoms": -8.78,
  "cell": [[-1.393, 2.996, -2.972], [0.884, -4.223, -4.670], [-6.013, -1.547, 4.588]],
  "species": ["Co", "Co", "Hf", "Co", "Co", "Hf", "Hf", "Hf", "Hf", "Co", "Fe", "Hf"],
  "fractional_positions": [[0.333, 0.333, 0.666], [0.333, 0.833, 0.667], [0.500, 0.752, 0.000], [0.667, 0.167, 0.333], [0.667, 0.667, 0.334], [0.166, 0.415, 0.332], [0.834, 0.585, 0.668], [0.500, 0.248, 0.000], [0.834, 0.083, 0.668], [0.000, 0.500, 0.000], [0.000, 0.000, 0.000], [0.166, 0.917, 0.332]]
}

Record 19
{
  "formula": "Hf2Fe2Co",
  "functional": "PBE-GGA",
  "state": "optimized geometry",
  "total_energy_ev_per_cell": -89.2,
  "formation_enthalpy_0k_kcal_per_mol_atoms": -3.10,
  "cell": [[-5.024, -0.001, 3.623], [-3.198, -2.912, -4.435], [1.083, -3.474, 1.501]],
  "species": ["Fe", "Hf", "Fe", "Co", "Fe", "Hf", "Hf", "Fe", "Co", "Hf"],
  "fractional_positions": [[0.124, 0.376, 0.000], [0.682, 0.818, 0.500], [0.624, 0.124, 0.000], [0.000, 0.000, 0.000], [0.876, 0.624, 0.000], [0.818, 0.318, 0.500], [0.318, 0.182, 0.500], [0.376, 0.876, 0.000], [0.500, 0.500, 0.000], [0.182, 0.682, 0.500]]
}

Record 20
{
  "formula": "Hf3FeCo",
  "functional": "PBE-GGA",
  "state": "optimized geometry",
  "total_energy_ev_per_cell": -42.6,
  "formation_enthalpy_0k_kcal_per_mol_atoms": 13.18,
  "e_above_lowest_polymorph_ev_per_atom": 0.768,
  "cell": [[4.684, 0.000, 0.000], [0.000, 4.684, 0.000], [0.000, 0.000, 4.684]],
  "species": ["Co", "Hf", "Hf", "Hf", "Fe"],
  "fractional_positions": [[0.500, 0.500, 0.500], [0.500, 0.000, 0.000], [0.000, 0.500, 0.000], [0.000, 0.000, 0.500], [0.000, 0.000, 0.000]]
}

Record 21
{
  "formula": "HfFeCo10",
  "functional": "PBE-GGA",
  "state": "optimized geometry",
  "total_energy_ev_per_cell": -88.5,
  "formation_enthalpy_0k_kcal_per_mol_atoms": 1.89,
  "cell": [[-0.133, -2.417, 3.195], [4.477, -1.088, -0.637], [2.176, 6.167, 4.755]],
  "species": ["Co", "Co", "Co", "Co", "Co", "Hf", "Co", "Co", "Fe", "Co", "Co", "Co"],
  "fractional_positions": [[0.000, 0.500, 0.181], [0.500, 0.751, 0.750], [0.000, 0.000, 0.345], [0.500, 0.249, 0.250], [0.500, 0.751, 0.250], [0.000, 0.000, 0.000], [0.000, 0.000, 0.655], [0.500, 0.500, 0.000], [0.000, 0.500, 0.500], [0.500, 0.249, 0.750], [0.500, 0.000, 0.500], [0.000, 0.500, 0.819]]
}

Record 22
{
  "formula": "Hf2Fe5Co5",
  "functional": "PBE-GGA",
  "state": "optimized geometry",
  "total_energy_ev_per_cell": -99.3,
  "formation_enthalpy_0k_kcal_per_mol_atoms": -2.90,
  "cell": [[-3.117, -2.267, 0.824], [1.346, -3.100, -3.438], [4.528, -4.204, 5.565]],
  "species": ["Hf", "Co", "Fe", "Co", "Co", "Fe", "Co", "Fe", "Fe", "Co", "Fe", "Hf"],
  "fractional_positions": [[0.000, 0.000, 0.500], [0.500, 0.500, 0.500], [0.500, 0.000, 0.000], [0.500, 0.250, 0.251], [0.500, 0.750, 0.251], [0.000, 0.500, 0.666], [0.500, 0.750, 0.749], [0.000, 0.000, 0.166], [0.000, 0.000, 0.834], [0.500, 0.250, 0.749], [0.000, 0.500, 0.334], [0.000, 0.500, 0.000]]
}

Record 23
{
  "formula": "Hf2FeCo",
  "functional": "PBE-GGA",
  "state": "optimized geometry",
  "total_energy_ev_per_cell": -33.7,
  "formation_enthalpy_0k_kcal_per_mol_atoms": 10.50,
  "e_above_lowest_polymorph_ev_per_atom": 0.820,
  "cell": [[-2.288, -1.245, -1.517], [-0.488, -2.969, 0.178], [-6.206, -0.121, 6.466]],
  "species": ["Co", "Hf", "Fe", "Hf"],
  "fractional_positions": [[0.000, 0.000, 0.000], [0.909, 0.909, 0.272], [0.500, 0.500, 0.500], [0.091, 0.091, 0.728]]
}

Record 24
{
  "formula": "Hf2FeCo",
  "functional": "PBE-GGA",
  "state": "optimized geometry",
  "total_energy_ev_per_cell": -69.2,
  "formation_enthalpy_0k_kcal_per_mol_atoms": 5.00,
  "e_above_lowest_polymorph_ev_per_atom": 0.581,
  "cell": [[6.739, 0.000, 0.000], [0.000, 6.739, 0.000], [3.370, 3.370, 2.893]],
  "species": ["Fe", "Hf", "Hf", "Co", "Co", "Fe", "Hf", "Hf"],
  "fractional_positions": [[0.250, 0.750, 0.500], [0.625, 0.125, 0.250], [0.125, 0.625, 0.250], [0.750, 0.250, 0.500], [0.000, 0.000, 0.000], [0.500, 0.500, 0.000], [0.875, 0.875, 0.750], [0.375, 0.375, 0.750]]
}

Record 25
{
  "formula": "HfFe2Co2",
  "functional": "PBE-GGA",
  "state": "optimized geometry",
  "total_energy_ev_per_cell": -41.1,
  "formation_enthalpy_0k_kcal_per_mol_atoms": -0.15,
  "e_above_lowest_polymorph_ev_per_atom": 0.029,
  "cell": [[-2.549, -2.466, -1.196], [2.163, -0.807, -2.946], [1.998, -5.149, 0.500]],
  "species": ["Co", "Hf", "Co", "Fe", "Fe"],
  "fractional_positions": [[0.750, 0.250, 0.500], [0.000, 0.000, 0.000], [0.250, 0.750, 0.500], [0.385, 0.385, 0.229], [0.615, 0.615, 0.771]]
}